# Re2AsW

A PBEsol-optimized structure of Re2AsW (meta-GGA SCAN, Alexandria via LeMat-Bulk).

ΔE_f = 0.18 eV/atom
Raw total energy = -57.8407 eV per atom
Total magnetization = 0.00 μB/f.u.

The structure in POSCAR format:
```
Re2AsW
1.0
3.0438 0.0000 0.0000
0.0000 3.0438 0.0000
0.0000 0.0000 6.3765
Re As W
2 1 1
Direct
0.0000 0.0000 0.2445
0.0000 0.0000 0.7555
0.5000 0.5000 0.0000
0.5000 0.5000 0.5000
```